w) VASP calculation (PBE) on a relaxed structure of TbDyNO.

Calculated values
Calculated volume: 134 Å³ per cell

Unit cell a=4.8821 b=3.9744 c=6.8900 alpha=90.00 beta=90.00 gamma=90.00
With the nearest neighbours (Å) after each atom.
Space group Pmma (No. 51)
Asymmetric unit:
Tb (0.2500, 0.0000, 0.1652) (multiplicity 2)  2 N 2.31, 3 O 2.35-2.44
Dy (0.2500, 0.5000, 0.6674) (multiplicity 2)  2 O 2.26, 3 N 2.27-2.44
N (0.2500, 0.5000, 0.3373) (multiplicity 2)  3 Dy 2.27-2.44, 2 Tb 2.31
O (0.2500, 0.0000, 0.8239) (multiplicity 2)  2 Dy 2.26, 3 Tb 2.35-2.44

---

x) VASP calculation (PBE) on a relaxed structure of TbDyNO.

Calculated values
Calculated volume: 264 Å³ per cell

Unit cell a=8.0661 b=6.6212 c=4.9470 alpha=90.00 beta=90.00 gamma=90.00
With the nearest neighbours (Å) after each atom.
Space group Pbcm (No. 57)
Asymmetric unit:
Tb (0.1273, 0.0827, 0.2500) (multiplicity 4)  4 N 2.28-2.48, 1 O 2.28
Dy (0.3782, 0.5705, 0.2500) (multiplicity 4)  4 O 2.22-2.48, 1 N 2.23
N (0.1265, 0.0688, 0.7500) (multiplicity 4)  1 Dy 2.23, 4 Tb 2.28-2.48
O (0.3702, 0.5943, 0.7500) (multiplicity 4)  4 Dy 2.22-2.48, 1 Tb 2.28

---

Stability, lowest: x)

---

w) VASP calculation (PBE) on a relaxed structure of TbDyNO.

Calculated values
Calculated volume: 264 Å³ per cell

Unit cell a=8.0738 b=6.6256 c=4.9350 alpha=90.00 beta=90.00 gamma=90.00
With the nearest neighbours (Å) after each atom.
Space group Pbcm (No. 57)
Asymmetric unit:
Tb (0.1225, 0.0694, 0.2500) (multiplicity 4)  4 O 2.24-2.47, 1 N 2.25
Dy (0.3736, 0.5831, 0.2500) (multiplicity 4)  1 O 2.26, 4 N 2.27-2.47
N (0.3760, 0.5714, 0.7500) (multiplicity 4)  1 Tb 2.25, 4 Dy 2.27-2.47
O (0.1335, 0.0930, 0.7500) (multiplicity 4)  4 Tb 2.24-2.47, 1 Dy 2.26

---

x) VASP calculation (PBE) on a relaxed structure of TbDyNO.

Calculated values
Calculated volume: 134 Å³ per cell

Unit cell a=4.8885 b=3.9596 c=6.9323 alpha=90.00 beta=90.00 gamma=90.00
With the nearest neighbours (Å) after each atom.
Space group Pmma (No. 51)
Asymmetric unit:
Tb (0.2500, 0.0000, 0.1658) (multiplicity 2)  2 O 2.29, 3 N 2.30-2.44
Dy (0.2500, 0.5000, 0.6655) (multiplicity 2)  2 N 2.30, 3 O 2.32-2.44
N (0.2500, 0.0000, 0.8341) (multiplicity 2)  2 Dy 2.30, 3 Tb 2.30-2.44
O (0.2500, 0.5000, 0.3304) (multiplicity 2)  2 Tb 2.29, 3 Dy 2.32-2.44

---

Stability, lowest: w)